Entry 1:
DFT (PBE-GGA) results for a relaxed ScCd2Pb crystal.

Results
The calculation puts the formation energy at -159 meV per atom. As for the calculated density: 8.2 g/cm³.

abc: 6.4100 6.4100 5.0663
angles: 67.35 67.35 30.60
Sites, in units of the cell vectors:
Pb  0.7500  0.7500  0.7500
Sc  0.2500  0.2500  0.2500
Cd  0.9816  0.9816  0.0189
Cd  0.5184  0.5184  0.4811

Entry 2:
DFT (PBE-GGA) results for a relaxed ScCd2Pb crystal.

Results
The calculation puts the formation energy at -110 meV per atom. As for the calculated density: 8.1 g/cm³.

abc: 4.5449 3.3216 6.5588
angles: 80.35 90.00 90.00
Sites, in units of the cell vectors:
Cd  0.0000  0.0735  0.0124
Cd  0.5000  0.4720  0.2131
Pb  0.0000  0.2573  0.5345
Sc  0.5000  0.6973  0.7400

Entry 3:
DFT (PBE-GGA) results for a relaxed ScCd2Pb crystal.

Results
The calculation puts the formation energy at -46 meV per atom. As for the calculated density: 7.7 g/cm³.

abc: 3.3792 3.3792 10.5299
angles: 80.77 80.77 60.00
Sites, in units of the cell vectors:
Sc  0.6665  0.6665  0.0005
Cd  0.0773  0.0773  0.7681
Cd  0.2559  0.2559  0.2323
Pb  0.5003  0.5003  0.4991

Entry 4:
DFT (PBE-GGA) results for a relaxed Sc2CdPb crystal.

Results
The calculation puts the formation energy at -15 meV per atom. As for the calculated density: 6.7 g/cm³.

abc: 7.9155 7.9155 6.4767
angles: 52.33 52.33 90.00
Sites, in units of the cell vectors:
Pb  0.0000  0.0000  0.0000
Pb  0.7500  0.2500  0.5000
Sc  0.6209  0.1250  0.2500
Sc  0.1291  0.6250  0.2500
Sc  0.3750  0.3791  0.7500
Sc  0.8750  0.8709  0.7500
Cd  0.5000  0.5000  0.0000
Cd  0.2500  0.7500  0.5000

Number 1: V 24.29 Å³/atom. Number 2: V 24.40 Å³/atom. Number 3: V 25.58 Å³/atom. Number 4: V 25.52 Å³/atom.